Model P:
Crystalline LaCoTc2 at its relaxed geometry. Source: Alexandria, functional PBE-GGA.

abc: 4.2630 4.2630 5.7844
angles: 68.37 68.37 60.01
Closest atoms and distances in Å follow each position.
Element x y z (fractional)
Tc 0.7544 0.7544 0.7369  3 Co 2.48, 3 Tc 2.52
Tc 0.0536 0.0536 0.8392  3 Tc 2.52, 3 Co 2.60
La 0.2514 0.2514 0.2455  1 Co 2.97, 4 Tc 3.11-3.25
Co 0.4406 0.4406 0.6784  6 Tc 2.48-2.60

Values from the calculation:
The total moment is 1.40 μB per cell. Its space-group type is R3m.

---

Model Q:
Crystalline LaCoTc2 at its relaxed geometry. Source: Alexandria, functional PBE-GGA.

abc: 4.5977 4.5977 4.5969
angles: 120.00 120.00 89.98
Closest atoms and distances in Å follow each position.
Element x y z (fractional)
Tc 0.0000 0.0000 0.0000  4 La 2.81-2.82, 4 Tc 2.82
Tc 0.2500 0.7500 0.5000  4 Co 2.82, 4 Tc 2.82
La 0.7500 0.2500 0.5000  4 Tc 2.81-2.82, 4 Co 2.81-2.82
Co 0.5000 0.5000 0.0000  4 La 2.81-2.82, 4 Tc 2.82

Values from the calculation:
The total moment is 1.82 μB per cell. Its space-group type is F-43m.

---

Most stable structure, least stable structure: model P, model Q.

---

Model P:
Crystalline La2CoTc at its relaxed geometry. Source: Alexandria, functional PBE-GGA.

abc: 7.4012 7.4012 6.1167
angles: 52.77 52.77 90.00
Closest atoms and distances in Å follow each position.
Element x y z (fractional)
Tc 0.0000 0.0000 0.0000  4 La 2.80
Tc 0.7500 0.2500 0.5000  4 La 2.80
La 0.3750 0.3877 0.7500  2 Co 2.67, 2 Tc 2.80
La 0.6123 0.1250 0.2500  2 Co 2.67, 2 Tc 2.80
La 0.1377 0.6250 0.2500  2 Co 2.67, 2 Tc 2.80
La 0.8750 0.8623 0.7500  2 Co 2.67, 2 Tc 2.80
Co 0.5000 0.5000 0.0000  4 La 2.67
Co 0.2500 0.7500 0.5000  4 La 2.67

Values from the calculation:
The total moment is 0.00 μB per cell. Its space-group type is I-42d.

---

Model Q:
Crystalline La2CoTc at its relaxed geometry. Source: Alexandria, functional PBE-GGA.

abc: 4.8949 4.8949 4.8949
angles: 60.00 60.00 60.00
Closest atoms and distances in Å follow each position.
Element x y z (fractional)
La 0.0000 0.0000 0.0000  4 La 3.00, 4 Tc 3.00
La 0.2500 0.2500 0.2500  4 La 3.00, 4 Co 3.00
Co 0.5000 0.5000 0.5000  4 La 3.00, 4 Tc 3.00
Tc 0.7500 0.7500 0.7500  4 Co 3.00, 4 La 3.00

Values from the calculation:
The total moment is 2.18 μB per cell. Its space-group type is F-43m.

---

Most stable structure, least stable structure: model Q, model P.